A plane-wave DFT calculation with PBE was carried out for La8TlAu2 after structural relaxation.

Cell: 5.7144 8.5544 8.5544 Å, 115.88 98.66 98.66°
Fractional coordinates of all 11 atoms:
La (0.9252, 0.9242, 0.6994)
La (0.9252, 0.6994, 0.9242)
La (0.3103, 0.6061, 0.6061)
La (0.5000, 0.7596, 0.2404)
La (0.5000, 0.2404, 0.7596)
La (0.6897, 0.3939, 0.3939)
La (0.0748, 0.3006, 0.0758)
La (0.0748, 0.0758, 0.3006)
Tl (0.5000, 0.0000, 0.0000)
Au (0.0000, 0.3125, 0.6875)
Au (0.0000, 0.6875, 0.3125)

space-group type = C2/m
crystal system = monoclinic
density of states at the Fermi level = 1.404 states/eV per atom
spin magnetization = 0.00 μB/f.u.
offset from the most stable computed form = 0.0487 eV/atom
ρ = 7.87 g cm⁻³
ΔE_f = -0.31 eV/atom
calculated total energy = -4.7021 eV/atom